# 1
10
Lattice="-4.4297 4.3461 -0.0350 -3.9606 -7.0190 -4.9820 -0.2856 4.1793 8.5019" Properties=species:S:1:pos:R:3 comment="Tb7PmSm2 (PBE, relaxed)" e_form_ev_per_fu=0.162 relative_energy_ev_per_atom=0.000 pbc="T T T"
Sm -2.7195 3.1414 2.8868
Sm -5.9564 -1.6349 0.5982
Tb -5.2110 0.6071 3.2916
Tb -3.2229 -4.7734 -2.2857
Tb -5.4530 6.2798 5.7707
Tb -2.4915 -2.5385 0.4020
Tb -3.4649 0.8993 0.1934
Tb -4.1952 -1.3364 -2.5085
Tb -6.1844 4.0449 3.0830
Pm 0.0000 0.0000 0.0000

=====

# 2
4
Lattice="-3.3553 1.6238 -6.7898 -5.9607 0.7193 -4.8938 -1.3680 4.3368 0.1892" Properties=species:S:1:pos:R:3 comment="SrTl2Tc (PBE, relaxed)" e_form_ev_per_fu=1.394 relative_energy_ev_per_atom=0.028 pbc="T T T"
Tc -2.7505 1.6499 -2.9924
Tl -8.6916 2.4997 -10.7509
Tl -8.0162 5.0091 -8.6256
Sr -5.8836 3.2042 -6.5562

=====

# 3
8
Lattice="9.5918 0.0000 0.0000 0.0000 9.5918 0.0000 4.7959 4.7959 2.3316" Properties=species:S:1:pos:R:3 comment="Zn2GeIr (PBE, relaxed)" e_form_ev_per_fu=0.148 pbc="T T T"
Zn 7.1938 4.8023 1.7487
Zn 9.5982 7.1938 0.5829
Zn 9.5854 2.3979 0.5829
Zn 11.9897 4.7895 1.7487
Ir 0.0000 0.0000 0.0000
Ir 9.5918 4.7959 1.1658
Ge 4.7959 9.5918 1.1658
Ge 4.7959 4.7959 0.0000

=====

# 4
4
Lattice="-1.6809 -1.8912 -3.0014 3.8957 -0.1277 0.4659 -0.6742 -5.8161 4.0424" Properties=species:S:1:pos:R:3 comment="NaMnBiOs (PBE, relaxed)" e_form_ev_per_fu=1.966 relative_energy_ev_per_atom=0.076 pbc="T T T"
Bi -0.0935 -3.6454 -0.2178
Na 2.0204 -0.8580 -0.5908
Mn 1.6160 -4.3466 1.8338
Os -0.4635 -3.9990 2.7794